Material: Nd2NiGe4Au3
Method: DFT, PBE
State: relaxed

```
Nd2NiGe4Au3
1.0
4.305 0.000 0.000
0.000 4.305 0.000
0.000 0.000 10.909
Nd Ni Ge Au
2 1 4 3
Direct
0.500 0.000 0.269
0.000 0.500 0.731
0.500 0.500 0.500
0.500 0.500 0.000
0.000 0.000 0.000
0.500 0.000 0.624
0.000 0.500 0.376
0.000 0.000 0.500
0.500 0.000 0.855
0.000 0.500 0.145
```

## Properties
Energy of formation (eV per atom): -0.545
Final energy (eV per atom): -4.9073